First-principles (PBE) data for an optimized crystal structure of Dy7Zn2Ru2, as listed in Alexandria via LeMat-Bulk.

Cell lengths 6.612, 7.114, 6.612 Å; angles 90.00, 110.79, 90.00 degrees
Positions (direct):
Dy 0.000 0.264 0.500
Dy 0.500 0.736 0.000
Dy 0.000 0.736 0.500
Dy 0.500 0.264 0.000
Dy 0.000 0.000 0.000
Dy 0.500 0.750 0.500
Dy 0.500 0.250 0.500
Zn 0.832 0.500 0.832
Zn 0.168 0.500 0.168
Ru 0.699 0.000 0.301
Ru 0.301 0.000 0.699

## Properties
space group: Cmmm
calculated total energy: -0.1848 hartree per atom
DFT formation energy: -0.18 eV/atom

First-principles (PBE) data for an optimized crystal structure of YZn2SiNi4, as listed in Alexandria via LeMat-Bulk.

Cell lengths 4.049, 4.049, 8.385 Å; angles 76.03, 76.03, 60.00 degrees
Positions (direct):
Y 0.000 0.000 0.000
Zn 0.756 0.756 0.733
Zn 0.244 0.244 0.267
Si 0.500 0.500 0.500
Ni 0.407 0.407 0.778
Ni 0.864 0.864 0.408
Ni 0.136 0.136 0.592
Ni 0.593 0.593 0.222

## Properties
E_form (uncorrected): -0.38 eV per atom
space group: R-3m
calculated total energy: -0.1863 hartree per atom

First-principles (PBE) data for an optimized crystal structure of InCuS2N, as listed in Alexandria via LeMat-Bulk.

Cell lengths 5.082, 5.082, 4.071 Å; angles 90.00, 90.00, 90.00 degrees
Positions (direct):
S 0.000 0.500 0.000
S 0.500 0.000 0.000
N 0.000 0.000 0.500
Cu 0.500 0.500 0.500
In 0.000 0.000 0.000

## Properties
E_form (uncorrected): 1.31 eV per atom
space group: P4/mmm
calculated total energy: -0.1241 hartree per atom
ΔE to the lowest computed polymorph: 629.3 meV/atom